The following is a DFT calculation (PBE) of a relaxed CsLi2NpF8 crystal. Values from VASP.

Output
* D(E_F): 0.87 states/eV/atom
* formation energy without anion corrections: -3.02 eV/atom
* energy: -68.8 eV per cell

The structure in Quantum ESPRESSO input format:
```
&SYSTEM
  ibrav = 0, nat = 12, ntyp = 4
/
ATOMIC_SPECIES
Cs 132.91 Cs.upf
Li 6.94 Li.upf
Np 237.00 Np.upf
F 19.00 F.upf
CELL_PARAMETERS angstrom
3.330 1.922 6.188
-3.330 1.922 6.188
0.000 -3.845 6.188
ATOMIC_POSITIONS crystal
Cs 0.000 0.000 0.000
Li 0.172 0.172 0.172
Li 0.828 0.828 0.828
Np 0.500 0.500 0.500
F 0.162 0.721 0.721
F 0.279 0.279 0.838
F 0.279 0.838 0.279
F 0.387 0.387 0.387
F 0.613 0.613 0.613
F 0.721 0.162 0.721
F 0.721 0.721 0.162
F 0.838 0.279 0.279
```